Arrangement i

The following is a SCAN calculation of a crystal of Sr3Hf2O7 relaxed with PBEsol, from Alexandria.

Volume in Å³/f.u.: 173.4
Total moment in μB per cell: 0.00

a = 4.0858 Å, b = 4.0858 Å, c = 10.7821 Å
α = 100.92°, β = 100.92°, γ = 90.00°
Sites, in units of the cell vectors:
O (0.0977, 0.5977, 0.1955)
Sr (0.3138, 0.3138, 0.6276)
Hf (0.0996, 0.0996, 0.1993)
O (0.1987, 0.1987, 0.3973)
O (0.4023, 0.9023, 0.8045)
O (0.0000, 0.0000, 0.0000)
Hf (0.9004, 0.9004, 0.8007)
O (0.5977, 0.0977, 0.1955)
Sr (0.6862, 0.6862, 0.3724)
O (0.9023, 0.4023, 0.8045)
Sr (0.5000, 0.5000, 0.0000)
O (0.8013, 0.8013, 0.6027)

---

Arrangement ii

The following is a SCAN calculation of a crystal of Sr3Hf2O7 relaxed with PBEsol, from Alexandria.

Volume in Å³/f.u.: 171.6
Total moment in μB per cell: 0.00

a = 5.6956 Å, b = 5.6957 Å, c = 10.9582 Å
α = 90.00°, β = 105.06°, γ = 90.00°
Sites, in units of the cell vectors:
O (0.2044, 0.8011, 0.8067)
O (0.1963, 0.0000, 0.3925)
O (0.5000, 0.5000, 0.0000)
Hf (0.5983, 0.5000, 0.1966)
O (0.3037, 0.5000, 0.6075)
Hf (0.4017, 0.5000, 0.8034)
O (0.7044, 0.6989, 0.8067)
O (0.2956, 0.6989, 0.1933)
O (0.6022, 0.1989, 0.8067)
Sr (0.1883, 0.5000, 0.3767)
Sr (0.8117, 0.5000, 0.6233)
Hf (0.9017, 0.0000, 0.8034)
Sr (0.5000, 0.0000, 0.0000)
O (0.7956, 0.8011, 0.1933)
O (0.6963, 0.5000, 0.3925)
O (0.0000, 0.0000, 0.0000)
O (0.8037, 0.0000, 0.6075)
O (0.8978, 0.3011, 0.1933)
Hf (0.0983, 0.0000, 0.1966)
Sr (0.6883, 0.0000, 0.3767)
Sr (0.3117, 0.0000, 0.6233)
O (0.3978, 0.1989, 0.1933)
O (0.1022, 0.3011, 0.8067)
Sr (0.0000, 0.5000, 0.0000)

---

Tell me which of them is the most stable. Sure, it is arrangement ii.

---

Arrangement i

The following is a SCAN calculation of a crystal of HfZn3O relaxed with PBEsol, from Alexandria.

Volume in Å³/f.u.: 74.8
Total moment in μB per cell: 1.48

a = 4.2128 Å, b = 4.2128 Å, c = 4.2128 Å
α = 90.00°, β = 90.00°, γ = 90.00°
Sites, in units of the cell vectors:
Zn (0.5000, 0.0000, 0.0000)
Zn (0.0000, 0.0000, 0.5000)
Hf (0.5000, 0.5000, 0.5000)
Zn (0.0000, 0.5000, 0.0000)
O (0.0000, 0.0000, 0.0000)

---

Arrangement ii

The following is a SCAN calculation of a crystal of HfZn3O relaxed with PBEsol, from Alexandria.

Volume in Å³/f.u.: 141.5
Total moment in μB per cell: 0.38

a = 5.2109 Å, b = 5.2109 Å, c = 5.2109 Å
α = 90.00°, β = 90.00°, γ = 90.00°
Sites, in units of the cell vectors:
Zn (0.0000, 0.0000, 0.5000)
Zn (0.5000, 0.0000, 0.0000)
Zn (0.0000, 0.5000, 0.0000)
O (0.5000, 0.5000, 0.5000)
Hf (0.0000, 0.0000, 0.0000)

---

Tell me which of them is the most stable. Sure, it is arrangement i.

---

Arrangement i

The following is a SCAN calculation of a crystal of RbHf3P relaxed with PBEsol, from Alexandria.

Volume in Å³/f.u.: 123.9
Total moment in μB per cell: 0.00

a = 4.9849 Å, b = 4.9849 Å, c = 4.9849 Å
α = 90.00°, β = 90.00°, γ = 90.00°
Sites, in units of the cell vectors:
Hf (0.0000, 0.0000, 0.5000)
P (0.0000, 0.0000, 0.0000)
Rb (0.5000, 0.5000, 0.5000)
Hf (0.0000, 0.5000, 0.0000)
Hf (0.5000, 0.0000, 0.0000)

---

Arrangement ii

The following is a SCAN calculation of a crystal of RbHf3P relaxed with PBEsol, from Alexandria.

Volume in Å³/f.u.: 118.5
Total moment in μB per cell: 0.01

a = 4.9117 Å, b = 4.9117 Å, c = 4.9117 Å
α = 90.00°, β = 90.00°, γ = 90.00°
Sites, in units of the cell vectors:
P (0.5000, 0.5000, 0.5000)
Rb (0.0000, 0.0000, 0.0000)
Hf (0.0000, 0.0000, 0.5000)
Hf (0.0000, 0.5000, 0.0000)
Hf (0.5000, 0.0000, 0.0000)

---

Tell me which of them is the most stable. Sure, it is arrangement i.

---

Arrangement i

The following is a SCAN calculation of a crystal of HfSnP2S relaxed with PBEsol, from Alexandria.

Volume in Å³/f.u.: 99.6
Total moment in μB per cell: 0.00

a = 4.5702 Å, b = 4.5702 Å, c = 4.7671 Å
α = 90.00°, β = 90.00°, γ = 90.00°
Sites, in units of the cell vectors:
Sn (0.5000, 0.5000, 0.5000)
P (0.5000, 0.0000, 0.0000)
Hf (0.0000, 0.0000, 0.5000)
S (0.0000, 0.0000, 0.0000)
P (0.0000, 0.5000, 0.0000)

---

Arrangement ii

The following is a SCAN calculation of a crystal of HfSnP2S relaxed with PBEsol, from Alexandria.

Volume in Å³/f.u.: 118.5
Total moment in μB per cell: 0.00

a = 4.8172 Å, b = 4.9602 Å, c = 4.9602 Å
α = 90.00°, β = 90.00°, γ = 90.00°
Sites, in units of the cell vectors:
Sn (0.5000, 0.5000, 0.5000)
P (0.0000, 0.0000, 0.5000)
S (0.5000, 0.0000, 0.0000)
P (0.0000, 0.5000, 0.0000)
Hf (0.0000, 0.0000, 0.0000)

---

Tell me which of them is the most stable. Sure, it is arrangement ii.

---

Arrangement i

The following is a SCAN calculation of a crystal of Sr3HfSb relaxed with PBEsol, from Alexandria.

Volume in Å³/f.u.: 191.8
Total moment in μB per cell: 1.10

a = 5.7670 Å, b = 5.7670 Å, c = 5.7670 Å
α = 90.00°, β = 90.00°, γ = 90.00°
Sites, in units of the cell vectors:
Hf (0.0000, 0.0000, 0.0000)
Sr (0.0000, 0.5000, 0.0000)
Sr (0.5000, 0.0000, 0.0000)
Sr (0.0000, 0.0000, 0.5000)
Sb (0.5000, 0.5000, 0.5000)

---

Arrangement ii

The following is a SCAN calculation of a crystal of Sr3HfSb relaxed with PBEsol, from Alexandria.

Volume in Å³/f.u.: 230.5
Total moment in μB per cell: 4.85

a = 6.1312 Å, b = 6.1312 Å, c = 6.1312 Å
α = 90.00°, β = 90.00°, γ = 90.00°
Sites, in units of the cell vectors:
Sr (0.0000, 0.0000, 0.5000)
Hf (0.5000, 0.5000, 0.5000)
Sr (0.5000, 0.0000, 0.0000)
Sb (0.0000, 0.0000, 0.0000)
Sr (0.0000, 0.5000, 0.0000)

---

Tell me which of them is the most stable. Sure, it is arrangement ii.

---

Arrangement i

The following is a SCAN calculation of a crystal of HfScSi2 relaxed with PBEsol, from Alexandria.

Volume in Å³/f.u.: 73.5
Total moment in μB per cell: 0.00

a = 5.8142 Å, b = 5.8142 Å, c = 5.8142 Å
α = 104.29°, β = 104.29°, γ = 120.42°
Sites, in units of the cell vectors:
Si (0.8756, 0.3750, 0.0006)
Si (0.1250, 0.1244, 0.4994)
Sc (0.5000, 0.5000, 0.0000)
Hf (0.0000, 0.0000, 0.0000)
Si (0.6250, 0.6256, 0.5006)
Si (0.3744, 0.8750, 0.9994)
Sc (0.7500, 0.2500, 0.5000)
Hf (0.2500, 0.7500, 0.5000)

---

Arrangement ii

The following is a SCAN calculation of a crystal of HfScSi2 relaxed with PBEsol, from Alexandria.

Volume in Å³/f.u.: 68.1
Total moment in μB per cell: 0.00

a = 3.6836 Å, b = 3.7829 Å, c = 5.2392 Å
α = 111.16°, β = 90.00°, γ = 90.00°
Sites, in units of the cell vectors:
Sc (0.0000, 0.1423, 0.2847)
Si (0.0000, 0.4174, 0.8348)
Hf (0.5000, 0.8592, 0.7184)
Si (0.5000, 0.5810, 0.1621)

---

Tell me which of them is the most stable. Sure, it is arrangement ii.

---

Arrangement i

The following is a SCAN calculation of a crystal of HfTeSe3 relaxed with PBEsol, from Alexandria.

Volume in Å³/f.u.: 137.6
Total moment in μB per cell: 1.40

a = 5.1622 Å, b = 5.1622 Å, c = 5.1622 Å
α = 90.00°, β = 90.00°, γ = 90.00°
Sites, in units of the cell vectors:
Te (0.0000, 0.0000, 0.0000)
Se (0.5000, 0.0000, 0.0000)
Se (0.0000, 0.0000, 0.5000)
Se (0.0000, 0.5000, 0.0000)
Hf (0.5000, 0.5000, 0.5000)

---

Arrangement ii

The following is a SCAN calculation of a crystal of HfTeSe3 relaxed with PBEsol, from Alexandria.

Volume in Å³/f.u.: 131.6
Total moment in μB per cell: 0.00

a = 5.0871 Å, b = 5.0871 Å, c = 5.0871 Å
α = 90.00°, β = 90.00°, γ = 90.00°
Sites, in units of the cell vectors:
Hf (0.0000, 0.0000, 0.0000)
Te (0.5000, 0.5000, 0.5000)
Se (0.0000, 0.0000, 0.5000)
Se (0.5000, 0.0000, 0.0000)
Se (0.0000, 0.5000, 0.0000)

---

Tell me which of them is the most stable. Sure, it is arrangement ii.

---

Arrangement i

The following is a SCAN calculation of a crystal of HfTiSe2 relaxed with PBEsol, from Alexandria.

Volume in Å³/f.u.: 83.0
Total moment in μB per cell: 0.00

a = 3.3660 Å, b = 3.3660 Å, c = 8.6828 Å
α = 78.82°, β = 78.82°, γ = 60.00°
Sites, in units of the cell vectors:
Ti (0.5000, 0.5000, 0.5000)
Se (0.1029, 0.1029, 0.6914)
Hf (0.0000, 0.0000, 0.0000)
Se (0.8971, 0.8971, 0.3086)

---

Arrangement ii

The following is a SCAN calculation of a crystal of HfTiSe2 relaxed with PBEsol, from Alexandria.

Volume in Å³/f.u.: 67.2
Total moment in μB per cell: 0.00

a = 4.5626 Å, b = 4.5626 Å, c = 4.5626 Å
α = 60.00°, β = 60.00°, γ = 60.00°
Sites, in units of the cell vectors:
Se (0.7500, 0.7500, 0.7500)
Se (0.2500, 0.2500, 0.2500)
Ti (0.0000, 0.0000, 0.0000)
Hf (0.5000, 0.5000, 0.5000)

---

Tell me which of them is the most stable. Sure, it is arrangement ii.